Mg2TaMn | GGA-PBEsol | optimized geometry Values from VASP.

```
&SYSTEM
  ibrav = 0, nat = 4, ntyp = 3
/
ATOMIC_SPECIES
Mn 54.94 Mn.upf
Mg 24.30 Mg.upf
Ta 180.95 Ta.upf
CELL_PARAMETERS angstrom
-0.184 -3.933 -2.381
3.410 -3.069 0.360
-0.712 -3.984 2.189
ATOMIC_POSITIONS crystal
Mn 0.000 0.000 0.000
Mg 0.250 0.250 0.250
Mg 0.750 0.750 0.750
Ta 0.500 0.500 0.500
```

Calculated values
As for the symmetry: No. 225. The calculation puts the formation energy at 0.690 eV/atom. As for the total magnetization: 2.1 μB/f.u. The calculation puts the relative energy among the computed polymorphs at 0.411 eV/atom.

=====

Mg2TaMn | GGA-PBEsol | optimized geometry Values from VASP.

```
&SYSTEM
  ibrav = 0, nat = 4, ntyp = 3
/
ATOMIC_SPECIES
Mg 24.30 Mg.upf
Mn 54.94 Mn.upf
Ta 180.95 Ta.upf
CELL_PARAMETERS angstrom
-0.551 -2.774 0.340
-0.191 -0.308 -2.825
8.550 -1.746 -0.388
ATOMIC_POSITIONS crystal
Mg 0.000 0.000 0.989
Mg 0.500 0.500 0.280
Mn 0.000 0.000 0.509
Ta 0.500 0.500 0.722
```

Calculated values
As for the symmetry: No. 99. The calculation puts the formation energy at 0.280 eV/atom. As for the total magnetization: 3.2 μB/f.u. The calculation puts the relative energy among the computed polymorphs at 0.000 eV/atom.

=====

MgTa2MnTl | GGA-PBEsol | optimized geometry Values from VASP.

```
&SYSTEM
  ibrav = 0, nat = 5, ntyp = 4
/
ATOMIC_SPECIES
Tl 204.38 Tl.upf
Ta 180.95 Ta.upf
Mn 54.94 Mn.upf
Mg 24.30 Mg.upf
CELL_PARAMETERS angstrom
4.422 0.000 0.000
0.000 4.762 0.000
0.000 0.000 4.762
ATOMIC_POSITIONS crystal
Tl 0.500 0.500 0.500
Ta 0.000 0.500 0.000
Ta 0.000 0.000 0.500
Mn 0.500 0.000 0.000
Mg 0.000 0.000 0.000
```

Calculated values
As for the symmetry: No. 123. The calculation puts the formation energy at 1.758 eV/atom. As for the total magnetization: 2.5 μB/f.u.